NdHoAl: optimized geometry, GGA-PBE.

The structure in extended XYZ format:
```
6
Lattice="5.337 0.000 0.000 -2.667 4.623 0.000 0.000 0.000 6.701" Properties=species:S:1:pos:R:3 pbc="T T T"
Nd -1.334 2.311 0.000
Nd -1.334 2.311 3.350
Ho 1.335 3.853 5.026
Ho 1.335 0.770 1.675
Al 1.333 0.771 5.026
Al 1.336 3.852 1.675
```

Output
Its crystal system is hexagonal. As for the formation energy: -0.226 eV per atom. The final energy is -27.53 eV per cell. As for the space-group type: P6_3/mmc, No. 194. The calculated volume comes out at 27.55 Å³/atom.